Here is an optimized crystal structure of AcPuCdRu from Alexandria. Energies are from PBE.

Cell lengths 5.2642, 5.2642, 5.2642 Å; angles 60.00, 60.00, 60.00 degrees
Last column: nearest neighbours and their distance in Å.
Atoms (fractional coordinates):
Cd 0.2500 0.2500 0.2500  4 Ac 3.22, 4 Pu 3.22
Pu 0.0000 0.0000 0.0000  4 Cd 3.22, 4 Ru 3.22
Ru 0.7500 0.7500 0.7500  4 Ac 3.22, 4 Pu 3.22
Ac 0.5000 0.5000 0.5000  4 Cd 3.22, 4 Ru 3.22

Density of states at the Fermi level (states/eV per atom): 3.05
Formation enthalpy at 0 K (meV per atom): 86